1.
Crystalline TcAg2As2 at its relaxed geometry, computed with PBE.

Its energy above the most stable polymorph in this dataset is 0 meV per atom. As for the symmetry: No. 127. The calculation puts the calculated volume at 186.2 Å³/cell. For the energy relative to the elements, the calculation gives 164 meV/atom.

Lattice parameters (Å, degrees): 6.3497 6.3497 4.6184 90.00 90.00 90.00
Last column: nearest neighbours and their distance in Å.
Positions (direct):
Tc: 0.0000 0.0000 0.0000  4 As 2.46
Tc: 0.5000 0.5000 0.0000  4 As 2.46
Ag: 0.2249 0.2751 0.5000  2 As 2.61
Ag: 0.2751 0.7751 0.5000  2 As 2.61
Ag: 0.7249 0.2249 0.5000  2 As 2.61
Ag: 0.7751 0.7249 0.5000  2 As 2.61
As: 0.1386 0.6386 0.0000  2 Tc 2.46, 1 As 2.49, 2 Ag 2.61
As: 0.3614 0.1386 0.0000  2 Tc 2.46, 1 As 2.49, 2 Ag 2.61
As: 0.6386 0.8614 0.0000  2 Tc 2.46, 1 As 2.49, 2 Ag 2.61
As: 0.8614 0.3614 0.0000  2 Tc 2.46, 1 As 2.49, 2 Ag 2.61

=====

2.
Crystalline LiDy2O4 at its relaxed geometry, computed with PBE.

For the uncorrected formation energy, the calculation gives -2.783 eV/atom. As for the symmetry: No. 122. The calculation puts the calculated volume at 169.2 Å³/cell.

Lattice parameters (Å, degrees): 6.0399 6.0399 6.0399 111.07 111.07 106.33
Last column: nearest neighbours and their distance in Å.
Positions (direct):
Li: 0.0000 0.0000 0.0000  4 O 2.19
Li: 0.7500 0.2500 0.5000  4 O 2.19
Dy: 0.2181 0.6250 0.0931  6 O 2.27-2.35
Dy: 0.3750 0.4681 0.5931  6 O 2.27-2.35
Dy: 0.5319 0.1250 0.9069  6 O 2.27-2.35
Dy: 0.8750 0.7819 0.4069  6 O 2.27-2.35
O: 0.1244 0.2475 0.7282  1 Li 2.19, 3 Dy 2.27-2.35
O: 0.1462 0.7693 0.7718  1 Li 2.19, 3 Dy 2.27-2.35
O: 0.2307 0.0025 0.3768  1 Li 2.19, 3 Dy 2.27-2.35
O: 0.5193 0.3962 0.2718  1 Li 2.19, 3 Dy 2.27-2.35
O: 0.6038 0.8756 0.1232  1 Li 2.19, 3 Dy 2.27-2.35
O: 0.6256 0.8538 0.6232  1 Li 2.19, 3 Dy 2.27-2.35
O: 0.7525 0.4807 0.8768  1 Li 2.19, 3 Dy 2.27-2.35
O: 0.9975 0.3744 0.2282  1 Li 2.19, 3 Dy 2.27-2.35

=====

3.
Crystalline CePrHo2As4 at its relaxed geometry, computed with PBE.

As for the symmetry: No. 10. The calculation puts the calculated volume at 206.8 Å³/cell. For the energy relative to the elements, the calculation gives -1492 meV/atom.

Lattice parameters (Å, degrees): 7.2294 4.1841 7.2492 90.00 109.45 90.00
Last column: nearest neighbours and their distance in Å.
Positions (direct):
Ce: 0.0000 0.0000 0.0000  6 As 2.97-2.98
Pr: 0.0000 0.5000 0.5000  6 As 3.01
Ho: 0.5000 0.0000 0.5000  6 As 2.94
Ho: 0.5000 0.5000 0.0000  6 As 2.90-2.91
As: 0.2578 0.5000 0.2491  3 Ho 2.90-2.94, 2 Ce 2.98, 1 Pr 3.01
As: 0.2596 0.0000 0.7575  3 Ho 2.91-2.94, 1 Ce 2.97, 2 Pr 3.01
As: 0.7404 0.0000 0.2425  3 Ho 2.91-2.94, 1 Ce 2.97, 2 Pr 3.01
As: 0.7422 0.5000 0.7509  3 Ho 2.90-2.94, 2 Ce 2.98, 1 Pr 3.01

=====

4.
Crystalline TaIn2Tc at its relaxed geometry, computed with PBE.

Its energy above the most stable polymorph in this dataset is 299 meV per atom. As for the symmetry: No. 166. The calculation puts the calculated volume at 75.7 Å³/cell. For the energy relative to the elements, the calculation gives 377 meV/atom.

Lattice parameters (Å, degrees): 9.5729 9.5729 9.5729 18.32 18.32 18.32
Last column: nearest neighbours and their distance in Å.
Positions (direct):
Ta: 0.0000 0.0000 0.0000  6 In 3.04, 6 Ta 3.05
In: 0.2455 0.2455 0.2455  3 Tc 2.84, 3 Ta 3.04, 6 In 3.05
In: 0.7545 0.7545 0.7545  3 Tc 2.84, 3 Ta 3.04, 6 In 3.05
Tc: 0.5000 0.5000 0.5000  6 In 2.84, 6 Tc 3.05

=====

5.
Crystalline InGa6Au12 at its relaxed geometry, computed with PBE.

As for the symmetry: No. 166. The calculation puts the calculated volume at 370.4 Å³/cell. For the energy relative to the elements, the calculation gives -100 meV/atom.

Lattice parameters (Å, degrees): 7.6255 7.6255 7.6255 106.89 106.89 106.89
Last column: nearest neighbours and their distance in Å.
Positions (direct):
In: 0.0000 0.0000 0.0000  6 Au 2.96
Ga: 0.2928 0.2928 0.6979  8 Au 2.70-2.98
Ga: 0.2928 0.6979 0.2928  8 Au 2.70-2.98
Ga: 0.3021 0.7072 0.7072  8 Au 2.70-2.98
Ga: 0.6979 0.2928 0.2928  8 Au 2.70-2.98
Ga: 0.7072 0.3021 0.7072  8 Au 2.70-2.98
Ga: 0.7072 0.7072 0.3021  8 Au 2.70-2.98
Au: 0.1176 0.5000 0.8824  4 Ga 2.70-2.74, 3 Au 2.86-2.88
Au: 0.1176 0.8824 0.5000  4 Ga 2.70-2.74, 3 Au 2.86-2.88
Au: 0.1221 0.3631 0.3631  4 Ga 2.73-2.98, 4 Au 2.86-2.95, 1 In 2.96
Au: 0.3631 0.1221 0.3631  4 Ga 2.73-2.98, 4 Au 2.86-2.95, 1 In 2.96
Au: 0.3631 0.3631 0.1221  4 Ga 2.73-2.98, 4 Au 2.86-2.95, 1 In 2.96
Au: 0.5000 0.1176 0.8824  4 Ga 2.70-2.74, 3 Au 2.86-2.88
Au: 0.5000 0.8824 0.1176  4 Ga 2.70-2.74, 3 Au 2.86-2.88
Au: 0.6369 0.6369 0.8779  4 Ga 2.73-2.98, 4 Au 2.86-2.95, 1 In 2.96
Au: 0.6369 0.8779 0.6369  4 Ga 2.73-2.98, 4 Au 2.86-2.95, 1 In 2.96
Au: 0.8779 0.6369 0.6369  4 Ga 2.73-2.98, 4 Au 2.86-2.95, 1 In 2.96
Au: 0.8824 0.1176 0.5000  4 Ga 2.70-2.74, 3 Au 2.86-2.88
Au: 0.8824 0.5000 0.1176  4 Ga 2.70-2.74, 3 Au 2.86-2.88

=====

6.
Crystalline IrCl at its relaxed geometry, computed with PBE.

Its energy above the most stable polymorph in this dataset is 585 meV per atom. For the uncorrected formation energy, the calculation gives 0.719 eV/atom. As for the symmetry: No. 217. The calculation puts the calculated volume at 327.9 Å³/cell.

Lattice parameters (Å, degrees): 7.5243 7.5243 7.5243 109.47 109.47 109.47
Last column: nearest neighbours and their distance in Å.
Positions (direct):
Ir: 0.0000 0.0000 0.2023  1 Cl 2.22, 3 Ir 2.49
Ir: 0.0000 0.2023 0.0000  1 Cl 2.22, 3 Ir 2.49
Ir: 0.2023 0.0000 0.0000  1 Cl 2.22, 3 Ir 2.49
Ir: 0.7977 0.7977 0.7977  1 Cl 2.22, 3 Ir 2.49
Cl: 0.0000 0.0000 0.4980  1 Ir 2.22
Cl: 0.0000 0.4980 0.0000  1 Ir 2.22
Cl: 0.4980 0.0000 0.0000  1 Ir 2.22
Cl: 0.5020 0.5020 0.5020  1 Ir 2.22

=====

7.
Crystalline TbGdIr2 at its relaxed geometry, computed with PBE.

Its energy above the most stable polymorph in this dataset is 3 meV per atom. As for the symmetry: No. 225. The calculation puts the calculated volume at 82.3 Å³/cell. For the energy relative to the elements, the calculation gives -754 meV/atom.

Lattice parameters (Å, degrees): 4.8821 4.8821 4.8821 60.00 60.00 60.00
Last column: nearest neighbours and their distance in Å.
Positions (direct):
Tb: 0.0000 0.0000 0.0000  8 Ir 2.99
Gd: 0.5000 0.5000 0.5000  8 Ir 2.99
Ir: 0.2500 0.2500 0.2500  4 Gd 2.99, 4 Tb 2.99
Ir: 0.7500 0.7500 0.7500  4 Gd 2.99, 4 Tb 2.99

=====

8.
Crystalline Rb2Cd4Sn3Bi at its relaxed geometry, computed with PBE.

As for the symmetry: No. 115. The calculation puts the calculated volume at 317.4 Å³/cell. For the energy relative to the elements, the calculation gives -155 meV/atom.

Lattice parameters (Å, degrees): 4.9695 4.9695 12.8525 90.00 90.00 90.00
Last column: nearest neighbours and their distance in Å.
Positions (direct):
Rb: 0.0000 0.5000 0.2434  8 Cd 3.78-3.99, 6 Sn 3.81-4.13, 2 Bi 4.13
Rb: 0.5000 0.0000 0.7566  8 Cd 3.78-3.99, 6 Sn 3.81-4.13, 2 Bi 4.13
Cd: 0.0000 0.0000 0.0000  4 Sn 2.98
Cd: 0.0000 0.5000 0.6480  3 Sn 2.87-3.13, 2 Bi 3.13
Cd: 0.5000 0.0000 0.3520  3 Sn 2.87-3.13, 2 Bi 3.13
Cd: 0.5000 0.5000 0.0000  4 Sn 2.98
Sn: 0.0000 0.5000 0.8715  5 Cd 2.87-2.98
Sn: 0.5000 0.0000 0.1285  5 Cd 2.87-2.98
Sn: 0.5000 0.5000 0.5000  4 Cd 3.13
Bi: 0.0000 0.0000 0.5000  4 Cd 3.13

=====

9.
Crystalline Tb2TmSc5 at its relaxed geometry, computed with PBE.

Its energy above the most stable polymorph in this dataset is 0 meV per atom. As for the symmetry: No. 55. The calculation puts the calculated volume at 430.2 Å³/cell. For the energy relative to the elements, the calculation gives 57 meV/atom.

Lattice parameters (Å, degrees): 6.7127 13.4272 4.7725 90.00 90.00 90.00
Last column: nearest neighbours and their distance in Å.
Positions (direct):
Tb: 0.2434 0.1270 0.0000  10 Sc 3.32-3.40, 2 Tm 3.40
Tb: 0.2566 0.6270 0.0000  10 Sc 3.32-3.40, 2 Tm 3.40
Tb: 0.7434 0.3730 0.0000  10 Sc 3.32-3.40, 2 Tm 3.40
Tb: 0.7566 0.8730 0.0000  10 Sc 3.32-3.40, 2 Tm 3.40
Tm: 0.0000 0.5000 0.5000  8 Sc 3.36-3.39, 4 Tb 3.40
Tm: 0.5000 0.0000 0.5000  8 Sc 3.36-3.39, 4 Tb 3.40
Sc: 0.0000 0.0000 0.5000  6 Sc 3.33-3.38, 2 Tm 3.36, 4 Tb 3.36
Sc: 0.0066 0.7522 0.5000  7 Sc 3.33-3.39, 4 Tb 3.34-3.37, 1 Tm 3.39
Sc: 0.2468 0.3742 0.0000  4 Tb 3.32-3.40, 6 Sc 3.33-3.39, 2 Tm 3.36
Sc: 0.2532 0.8742 0.0000  4 Tb 3.32-3.40, 6 Sc 3.33-3.39, 2 Tm 3.36
Sc: 0.4934 0.2522 0.5000  7 Sc 3.33-3.39, 4 Tb 3.34-3.37, 1 Tm 3.39
Sc: 0.5000 0.5000 0.5000  6 Sc 3.33-3.38, 2 Tm 3.36, 4 Tb 3.36
Sc: 0.5066 0.7478 0.5000  7 Sc 3.33-3.39, 4 Tb 3.34-3.37, 1 Tm 3.39
Sc: 0.7468 0.1258 0.0000  4 Tb 3.32-3.40, 6 Sc 3.33-3.39, 2 Tm 3.36
Sc: 0.7532 0.6258 0.0000  4 Tb 3.32-3.40, 6 Sc 3.33-3.39, 2 Tm 3.36
Sc: 0.9934 0.2478 0.5000  7 Sc 3.33-3.39, 4 Tb 3.34-3.37, 1 Tm 3.39

=====

10.
Crystalline TlRuW2 at its relaxed geometry, computed with PBE.

Its energy above the most stable polymorph in this dataset is 301 meV per atom. As for the symmetry: No. 123. The calculation puts the calculated volume at 72.1 Å³/cell. For the energy relative to the elements, the calculation gives 789 meV/atom.

Lattice parameters (Å, degrees): 3.4125 3.4125 6.1908 90.00 90.00 90.00
Last column: nearest neighbours and their distance in Å.
Positions (direct):
Tl: 0.0000 0.0000 0.0000  8 W 3.06, 2 Ru 3.10, 4 Tl 3.41
Ru: 0.0000 0.0000 0.5000  8 W 2.70
W: 0.5000 0.5000 0.3041  1 W 2.43, 4 Ru 2.70
W: 0.5000 0.5000 0.6959  1 W 2.43, 4 Ru 2.70

=====

11.
Crystalline Na4SrPb2 at its relaxed geometry, computed with PBE.

As for the symmetry: No. 65. The calculation puts the calculated volume at 240.6 Å³/cell. For the energy relative to the elements, the calculation gives -178 meV/atom.

Lattice parameters (Å, degrees): 10.6754 10.6754 5.0858 90.00 90.00 155.48
Last column: nearest neighbours and their distance in Å.
Positions (direct):
Na: 0.1708 0.8292 0.0000  2 Pb 3.27, 4 Na 3.41
Na: 0.3185 0.6815 0.5000  2 Pb 3.22, 4 Na 3.41
Na: 0.6815 0.3185 0.5000  2 Pb 3.22, 4 Na 3.41
Na: 0.8292 0.1708 0.0000  2 Pb 3.27, 4 Na 3.41
Sr: 0.5000 0.5000 0.0000  8 Pb 3.72
Pb: 0.0721 0.9279 0.5000  1 Pb 3.01, 4 Na 3.22-3.27
Pb: 0.9279 0.0721 0.5000  1 Pb 3.01, 4 Na 3.22-3.27

=====

12.
Crystalline HoGeH at its relaxed geometry, computed with PBE.

Its energy above the most stable polymorph in this dataset is 205 meV per atom. As for the symmetry: No. 187. The calculation puts the calculated volume at 51.2 Å³/cell.

Lattice parameters (Å, degrees): 3.5564 3.5564 4.6723 90.00 90.00 120.00
Last column: nearest neighbours and their distance in Å.
Positions (direct):
Ho: 0.0000 0.0000 0.0000  3 H 2.05
Ge: 0.6667 0.3333 0.5000  6 Ho 3.11, 6 H 3.11
H: 0.3333 0.6667 0.0000  3 Ho 2.05